Record 1
Material: SiSeBr2
Method: DFT, SCAN
State: single point on PBEsol structure

Lattice parameters (Å, degrees): 3.0585 3.0585 10.9998 82.01 82.01 60.00
Fractional positions:
Si 0.0000 0.0000 0.0000
Se 0.5000 0.5000 0.5000
Br 0.9282 0.9282 0.2155
Br 0.0718 0.0718 0.7845

Computed properties:
The crystal system is trigonal. For the raw total energy, the calculation gives -16.693 eV per atom. Its space group is R-3m, No. 166. The calculation puts the uncorrected formation energy at 560.2 meV per atom.

Record 2
Material: SiSeBr2
Method: DFT, SCAN
State: single point on PBEsol structure

Lattice parameters (Å, degrees): 4.7401 4.7401 5.3955 113.82 113.82 94.61
Fractional positions:
Si 0.5000 0.5000 0.0000
Se 0.0000 0.0000 0.0000
Br 0.5000 0.0000 0.5000
Br 0.0000 0.5000 0.5000

Computed properties:
The crystal system is orthorhombic. For the raw total energy, the calculation gives -16.854 eV per atom. Its space group is Fmmm, No. 69. The calculation puts the uncorrected formation energy at 399.4 meV per atom.

Record 3
Material: SiSnSe2Br
Method: DFT, SCAN
State: single point on PBEsol structure

Lattice parameters (Å, degrees): 4.9003 4.9003 4.9512 90.00 90.00 90.00
Fractional positions:
Si 0.0000 0.0000 0.0000
Se 0.0000 0.5000 0.0000
Se 0.5000 0.0000 0.0000
Sn 0.5000 0.5000 0.5000
Br 0.0000 0.0000 0.5000

Computed properties:
The crystal system is tetragonal. For the raw total energy, the calculation gives -21.083 eV per atom. Its space group is P4/mmm, No. 123. The calculation puts the uncorrected formation energy at 27.4 meV per atom.

Record 4
Material: SiSnSeBr2
Method: DFT, SCAN
State: single point on PBEsol structure

Lattice parameters (Å, degrees): 4.9848 4.9848 5.0735 90.00 90.00 90.00
Fractional positions:
Si 0.0000 0.0000 0.0000
Se 0.0000 0.0000 0.5000
Sn 0.5000 0.5000 0.5000
Br 0.0000 0.5000 0.0000
Br 0.5000 0.0000 0.0000

Computed properties:
The crystal system is tetragonal. For the raw total energy, the calculation gives -20.994 eV per atom. Its space group is P4/mmm, No. 123. The calculation puts the uncorrected formation energy at -6.9 meV per atom.

Record 5
Material: SiTcSe2Br
Method: DFT, SCAN
State: single point on PBEsol structure

Lattice parameters (Å, degrees): 4.8310 4.8310 4.8743 90.00 90.00 90.00
Last column: magnetic moment on the atom in μB.
Fractional positions:
Si 0.0000 0.0000 0.0000  0.00
Se 0.0000 0.5000 0.0000  0.06
Se 0.5000 0.0000 0.0000  0.06
Tc 0.5000 0.5000 0.5000  4.30
Br 0.0000 0.0000 0.5000  0.06

Computed properties:
The crystal system is tetragonal. For the raw total energy, the calculation gives -20.247 eV per atom. Its space group is P4/mmm, No. 123. The calculation puts the uncorrected formation energy at 691.4 meV per atom.

Record 6
Material: TiSiSe2Br
Method: DFT, SCAN
State: single point on PBEsol structure

Lattice parameters (Å, degrees): 4.8134 4.8130 4.8130 90.00 90.00 90.00
Last column: magnetic moment on the atom in μB.
Fractional positions:
Si 0.0000 0.0000 0.0000  0.01
Se 0.0000 0.0000 0.5000  -0.05
Se 0.0000 0.5000 0.0000  -0.05
Br 0.5000 0.0000 0.0000  0.01
Ti 0.5000 0.5000 0.5000  1.81

Computed properties:
The crystal system is tetragonal. For the raw total energy, the calculation gives -17.029 eV per atom. Its space group is P4/mmm, No. 123. The calculation puts the uncorrected formation energy at 103.2 meV per atom.

Record 7
Material: SiWSe2Br
Method: DFT, SCAN
State: single point on PBEsol structure

Lattice parameters (Å, degrees): 4.8530 4.8530 5.0486 90.00 90.00 90.00
Last column: magnetic moment on the atom in μB.
Fractional positions:
Si 0.5000 0.5000 0.5000  0.35
Se 0.0000 0.5000 0.0000  -0.09
Se 0.5000 0.0000 0.0000  -0.09
Br 0.0000 0.0000 0.5000  0.04
W 0.0000 0.0000 0.0000  0.97

Computed properties:
The crystal system is tetragonal. For the raw total energy, the calculation gives -27.095 eV per atom. Its space group is P4/mmm, No. 123. The calculation puts the uncorrected formation energy at 769.2 meV per atom.

Record 8
Material: ZnSiSe2Br
Method: DFT, SCAN
State: single point on PBEsol structure

Lattice parameters (Å, degrees): 4.8147 4.8147 4.9823 90.00 90.00 90.00
Fractional positions:
Zn 0.0000 0.0000 0.0000
Si 0.5000 0.5000 0.5000
Se 0.0000 0.5000 0.0000
Se 0.5000 0.0000 0.0000
Br 0.0000 0.0000 0.5000

Computed properties:
The crystal system is tetragonal. For the raw total energy, the calculation gives -16.166 eV per atom. Its space group is P4/mmm, No. 123. The calculation puts the uncorrected formation energy at 463.7 meV per atom.

Record 9
Material: Sn3SeBr
Method: DFT, SCAN
State: single point on PBEsol structure

Lattice parameters (Å, degrees): 5.4829 5.4829 5.4829 90.00 90.00 90.00
Fractional positions:
Se 0.5000 0.5000 0.5000
Sn 0.0000 0.5000 0.0000
Sn 0.0000 0.0000 0.5000
Sn 0.5000 0.0000 0.0000
Br 0.0000 0.0000 0.0000

Computed properties:
The crystal system is cubic. For the raw total energy, the calculation gives -28.595 eV per atom. Its space group is Pm-3m, No. 221. The calculation puts the uncorrected formation energy at 865.3 meV per atom.

Record 10
Material: SnTeSeBr2
Method: DFT, SCAN
State: single point on PBEsol structure

Lattice parameters (Å, degrees): 5.5212 5.4256 5.4256 90.00 90.00 90.00
Last column: magnetic moment on the atom in μB.
Fractional positions:
Te 0.0000 0.0000 0.0000  0.00
Se 0.5000 0.0000 0.0000  -0.04
Sn 0.5000 0.5000 0.5000  0.30
Br 0.0000 0.0000 0.5000  0.00
Br 0.0000 0.5000 0.0000  0.00

Computed properties:
The crystal system is tetragonal. For the raw total energy, the calculation gives -26.267 eV per atom. Its space group is P4/mmm, No. 123. The calculation puts the uncorrected formation energy at 166.8 meV per atom.

Record 11
Material: YSnSe2Br
Method: DFT, SCAN
State: single point on PBEsol structure

Lattice parameters (Å, degrees): 5.2591 5.4282 5.4282 90.00 90.00 90.00
Fractional positions:
Y 0.0000 0.0000 0.0000
Se 0.0000 0.0000 0.5000
Se 0.0000 0.5000 0.0000
Sn 0.5000 0.5000 0.5000
Br 0.5000 0.0000 0.0000

Computed properties:
The crystal system is tetragonal. For the raw total energy, the calculation gives -25.571 eV per atom. Its space group is P4/mmm, No. 123. The calculation puts the uncorrected formation energy at -895.0 meV per atom.

Record 12
Material: YSnSe2Br
Method: DFT, SCAN
State: single point on PBEsol structure

Lattice parameters (Å, degrees): 5.1995 5.2908 5.2908 90.00 90.00 90.00
Last column: magnetic moment on the atom in μB.
Fractional positions:
Y 0.5000 0.5000 0.5000  0.39
Se 0.0000 0.0000 0.5000  -0.01
Se 0.0000 0.5000 0.0000  -0.01
Sn 0.0000 0.0000 0.0000  -0.01
Br 0.5000 0.0000 0.0000  -0.01

Computed properties:
The crystal system is tetragonal. For the raw total energy, the calculation gives -25.040 eV per atom. Its space group is P4/mmm, No. 123. The calculation puts the uncorrected formation energy at -363.6 meV per atom.

Record 13
Material: Sr2SeBr
Method: DFT, SCAN
State: single point on PBEsol structure

Lattice parameters (Å, degrees): 3.8359 5.2942 5.2942 89.99 90.03 90.03
Fractional positions:
Br 0.5000 0.5000 0.5000
Se 0.5000 0.0000 0.0000
Sr 0.0000 0.5000 0.0000
Sr 0.0000 0.0000 0.5000

Computed properties:
The crystal system is tetragonal. For the raw total energy, the calculation gives -22.696 eV per atom. Its space group is P4/mmm, No. 123. The calculation puts the uncorrected formation energy at -1673.5 meV per atom.